VASP calculation (GGA-PBE) on an optimized crystal structure of Sm3Y5H12.

Properties
**SG**: Ia-3d
**Size of the total moment**: 0.00 μB per formula unit
**Crystal system**: cubic
**Total DFT energy (no corrections)**: -4.81 eV/atom

```
Sm3Y5H12
1.0
11.4559 0.0000 0.0000
-3.8186 10.8008 0.0000
-3.8186 -5.4004 9.3537
Sm Y H
12 20 48
Direct
0.7500 0.3750 0.1250
0.8750 0.7500 0.1250
0.3750 0.7500 0.6250
0.2500 0.1250 0.3750
0.8750 0.1250 0.2500
0.3750 0.6250 0.2500
0.6250 0.3750 0.7500
0.1250 0.8750 0.7500
0.7500 0.8750 0.6250
0.6250 0.2500 0.3750
0.1250 0.2500 0.8750
0.2500 0.6250 0.8750
0.1250 0.3750 0.2500
0.0000 0.5000 0.0000
0.0000 0.0000 0.0000
0.3750 0.2500 0.1250
0.5000 0.0000 0.5000
0.5000 0.5000 0.0000
0.1250 0.7500 0.3750
0.7500 0.1250 0.8750
0.7500 0.6250 0.3750
0.3750 0.1250 0.7500
0.6250 0.8750 0.2500
0.5000 0.5000 0.5000
0.5000 0.0000 0.0000
0.0000 0.0000 0.5000
0.2500 0.3750 0.6250
0.2500 0.8750 0.1250
0.0000 0.5000 0.5000
0.8750 0.2500 0.6250
0.6250 0.7500 0.8750
0.8750 0.6250 0.7500
0.7216 0.1489 0.0620
0.3404 0.5620 0.4131
0.9380 0.3511 0.2784
0.5620 0.2216 0.1489
0.5727 0.7216 0.6596
0.9380 0.5869 0.1596
0.3404 0.7784 0.4273
0.0869 0.9273 0.1489
0.5869 0.9380 0.6596
0.7216 0.5727 0.1596
0.7784 0.4380 0.3511
0.8404 0.9131 0.0620
0.1489 0.7216 0.5620
0.3511 0.4131 0.0727
0.0727 0.9131 0.3511
0.4273 0.1489 0.5869
0.0727 0.1596 0.2216
0.4380 0.6596 0.0869
0.8404 0.9273 0.2784
0.1489 0.4273 0.0869
0.3511 0.9380 0.7784
0.5869 0.6489 0.4273
0.9131 0.8404 0.5620
0.7784 0.3404 0.9273
0.4131 0.3511 0.5727
0.0869 0.1596 0.4380
0.2216 0.6596 0.0727
0.1596 0.0727 0.7216
0.6489 0.0620 0.2216
0.8511 0.5727 0.9131
0.5620 0.3404 0.9131
0.5727 0.8511 0.4131
0.9273 0.8404 0.7784
0.9273 0.0869 0.6489
0.8511 0.2784 0.4380
0.1596 0.0869 0.9380
0.6489 0.5869 0.9273
0.4131 0.0620 0.3404
0.2784 0.4273 0.8404
0.2216 0.5620 0.6489
0.9131 0.0727 0.8511
0.6596 0.2216 0.5727
0.4380 0.7784 0.8511
0.0620 0.4131 0.8404
0.4273 0.2784 0.3404
0.0620 0.6489 0.7216
0.6596 0.4380 0.5869
0.2784 0.8511 0.9380
```